# CaGd2Cu

A relaxed structure of CaGd2Cu (GGA-PBE, Alexandria via LeMat-Bulk).

Summary:
V = 29.268 Å³/atom
DFT formation energy = -0.05 eV/atom
SG = P4/mmm (123)

a = 3.5639 Å, b = 3.5639 Å, c = 9.2172 Å
α = 90.00°, β = 90.00°, γ = 90.00°
Atoms (fractional coordinates):
Ca: 0.0000 0.0000 0.0000
Gd: 0.5000 0.5000 0.3200
Gd: 0.5000 0.5000 0.6800
Cu: 0.0000 0.0000 0.5000